VASP calculation (PBE) on crystalline Hf2TeMo2 at its relaxed geometry.

Properties
VASP energy   -43.968 eV/f.u.
ΔE to the lowest computed polymorph   0 meV/atom

Cell: 7.582 7.582 3.559 Å, 90.00 90.00 90.00°
Fractional positions:
Hf: 0.184 0.316 0.000
Hf: 0.316 0.816 0.000
Hf: 0.684 0.184 0.000
Hf: 0.816 0.684 0.000
Te: 0.000 0.000 0.500
Te: 0.500 0.500 0.500
Mo: 0.108 0.608 0.500
Mo: 0.392 0.108 0.500
Mo: 0.608 0.892 0.500
Mo: 0.892 0.392 0.500


VASP calculation (PBE) on crystalline TiInCoPt2 at its relaxed geometry.

Properties
VASP energy   -27.400 eV/f.u.
Calculated formation energy   484.3 meV per atom

Cell: 4.801 4.801 4.174 Å, 90.00 90.00 90.00°
Fractional positions:
Ti: 0.000 0.000 0.000
In: 0.500 0.500 0.500
Co: 0.000 0.000 0.500
Pt: 0.000 0.500 0.000
Pt: 0.500 0.000 0.000


Question: What is the formula in the first record?
Answer: Hf2TeMo2


Question: Among the records above, which one has the highest VASP energy?
Answer: TiInCoPt2


What did the first record say?
VASP calculation (PBE) on crystalline Hf2TeMo2 at its relaxed geometry.

Properties
VASP energy   -43.968 eV/f.u.
ΔE to the lowest computed polymorph   0 meV/atom

Cell: 7.582 7.582 3.559 Å, 90.00 90.00 90.00°
Fractional positions:
Hf: 0.184 0.316 0.000
Hf: 0.316 0.816 0.000
Hf: 0.684 0.184 0.000
Hf: 0.816 0.684 0.000
Te: 0.000 0.000 0.500
Te: 0.500 0.500 0.500
Mo: 0.108 0.608 0.500
Mo: 0.392 0.108 0.500
Mo: 0.608 0.892 0.500
Mo: 0.892 0.392 0.500